The following is a GGA-PBE calculation of an optimized crystal structure of Hg2PtBr8, from Alexandria via LeMat-Bulk.

Geometry as POSCAR:
```
Hg2PtBr8
1.0
7.508 -3.910 0.000
7.508 3.910 0.000
-0.089 0.000 6.885
Hg Pt Br
2 1 8
Cartesian
2.558 0.000 0.617
12.368 0.000 6.268
-0.044 0.000 3.442
2.147 0.000 4.670
6.523 2.150 4.970
8.403 2.150 1.915
5.082 0.000 0.431
9.844 0.000 6.454
6.523 -2.150 4.970
8.403 -2.150 1.915
12.779 0.000 2.215
```

Summary:
Calculated volume ... 36.74 Å³ per atom
D(E_F) ... 0.00 states/eV/f.u.
Formation energy without anion corrections ... -0.33 eV/atom


The following is a GGA-PBE calculation of an optimized crystal structure of Ca2YPb, from Alexandria via LeMat-Bulk.

Geometry as POSCAR:
```
Ca2YPb
1.0
1.851 1.069 11.545
-1.851 1.069 11.545
0.000 -2.138 11.545
Ca Y Pb
2 1 1
Cartesian
0.000 0.000 8.434
0.000 0.000 26.201
0.000 0.000 0.000
0.000 0.000 17.318
```

Summary:
Calculated volume ... 34.26 Å³ per atom
Formation enthalpy at 0 K ... -0.12 eV/atom
D(E_F) ... 3.62 states/eV/f.u.


The following is a GGA-PBE calculation of an optimized crystal structure of Ca2CrPBr, from Alexandria via LeMat-Bulk.

Geometry as POSCAR:
```
Ca2CrPBr
1.0
5.447 0.000 0.000
0.000 5.447 0.000
0.000 0.000 5.233
Ca Cr P Br
2 1 1 1
Cartesian
0.000 2.723 0.000
2.723 0.000 0.000
0.000 0.000 2.617
2.723 2.723 2.617
2.723 2.723 0.000
```

Summary:
Calculated volume ... 31.05 Å³ per atom
D(E_F) ... 1.91 states/eV/f.u.
Formation energy without anion corrections ... 0.34 eV/atom